Compound: CuH20S2N2O14
Source: the Alexandria database
Functional: PBEsol
Structure: optimized geometry

magnetic moment = 1.01 μB/f.u.
total energy = -209.40 eV/f.u.

abc: 6.4890 9.0257 11.8226
angles: 90.00 90.00 104.25
Last column: nearest neighbours and their distance in Å.
Fractional coordinates of all 78 atoms:
H 0.3018 0.8793 0.0564  1 O 1.00
H 0.6586 0.7588 0.0867  1 O 0.99
H 0.8834 0.7265 0.1249  1 O 0.99
H 0.3414 0.7412 0.5867  1 O 0.99
H 0.7085 0.8294 0.2588  1 N 1.05
H 0.5610 0.4468 0.1878  1 N 1.05
H 0.7085 0.3294 0.2412  1 N 1.05
H 0.5610 0.9468 0.3122  1 N 1.05
H 0.0749 0.2695 0.0902  1 O 1.01
H 0.9251 0.7305 0.9098  1 O 1.01
H 0.0223 0.6435 0.3105  1 O 1.01
H 0.4390 0.0532 0.6878  1 N 1.05
H 0.1796 0.0275 0.6532  1 N 1.04
H 0.9777 0.8565 0.8105  1 O 1.01
H 0.4390 0.5532 0.8122  1 N 1.05
H 0.1166 0.2735 0.8751  1 O 0.99
H 0.0749 0.7695 0.4098  1 O 1.01
H 0.3012 0.0140 0.1451  1 O 1.01
H 0.0223 0.1435 0.1895  1 O 1.01
H 0.6988 0.4860 0.6451  1 O 1.01
H 0.8834 0.2265 0.3751  1 O 0.99
H 0.6988 0.9860 0.8549  1 O 1.01
H 0.3589 0.6760 0.9035  1 N 1.04
H 0.6982 0.6207 0.5564  1 O 1.00
H 0.3414 0.2412 0.9133  1 O 0.99
H 0.6586 0.2588 0.4133  1 O 0.99
H 0.1796 0.5275 0.8468  1 N 1.04
H 0.9251 0.2305 0.5902  1 O 1.01
H 0.8204 0.4725 0.1532  1 N 1.04
H 0.2915 0.1706 0.7412  1 N 1.05
H 0.3589 0.1760 0.5965  1 N 1.04
H 0.2915 0.6706 0.7588  1 N 1.05
H 0.3012 0.5140 0.3549  1 O 1.01
H 0.8204 0.9725 0.3468  1 N 1.04
H 0.9777 0.3565 0.6895  1 O 1.01
H 0.6411 0.8240 0.4035  1 N 1.04
H 0.6982 0.1207 0.9436  1 O 1.00
H 0.3018 0.3793 0.4436  1 O 1.00
H 0.1166 0.7735 0.6249  1 O 0.99
H 0.6411 0.3240 0.0965  1 N 1.04
O 0.9853 0.1644 0.1095  2 H 1.01
O 0.6235 0.2857 0.9410  1 S 1.50, 1 H 1.68
O 0.7974 0.8034 0.1239  2 H 0.99
O 0.2030 0.9441 0.4416  1 S 1.47, 1 H 1.63
O 0.6235 0.7857 0.5590  1 S 1.50, 1 H 1.68
O 0.3765 0.2143 0.4410  1 S 1.50, 1 H 1.68
O 0.2026 0.6966 0.6239  2 H 0.99
O 0.0147 0.8356 0.8905  2 H 1.01
O 0.7970 0.0559 0.5584  1 S 1.47, 1 H 1.63
O 0.0588 0.1199 0.3263  1 S 1.50, 1 H 1.66
O 0.7970 0.5559 0.9416  1 S 1.47, 1 H 1.63
O 0.3906 0.0623 0.2731  1 S 1.49, 1 H 1.64
O 0.2684 0.4816 0.4357  2 H 1.00-1.01
O 0.2684 0.9816 0.0643  2 H 1.00-1.01
O 0.2026 0.1966 0.8761  2 H 0.99
O 0.9412 0.8801 0.6737  1 S 1.50, 1 H 1.66
O 0.7316 0.0184 0.9357  2 H 1.00-1.01
O 0.6094 0.4377 0.7731  1 S 1.49, 1 H 1.64
O 0.6094 0.9377 0.7269  1 S 1.49, 1 H 1.64
O 0.2030 0.4441 0.0584  1 S 1.47, 1 H 1.63
O 0.3765 0.7143 0.0590  1 S 1.50, 1 H 1.68
O 0.0588 0.6199 0.1737  1 S 1.50, 1 H 1.66
O 0.7974 0.3034 0.3761  2 H 0.99
O 0.0147 0.3356 0.6095  2 H 1.01
O 0.3906 0.5623 0.2269  1 S 1.49, 1 H 1.64
O 0.9412 0.3801 0.8263  1 S 1.50, 1 H 1.66
O 0.7316 0.5184 0.5643  2 H 1.00-1.01
O 0.9853 0.6644 0.3905  2 H 1.01
S 0.2565 0.5828 0.1288  4 O 1.47-1.50
S 0.2565 0.0828 0.3712  4 O 1.47-1.50
S 0.7435 0.4172 0.8712  4 O 1.47-1.50
S 0.7435 0.9172 0.6288  4 O 1.47-1.50
N 0.3204 0.1100 0.6690  4 H 1.04-1.05
N 0.3204 0.6100 0.8310  4 H 1.04-1.05
N 0.6796 0.3900 0.1690  4 H 1.04-1.05
N 0.6796 0.8900 0.3310  4 H 1.04-1.05
Cu 0.0000 0.5000 0.5000  4 O 1.94-1.99
Cu 0.0000 0.0000 0.0000  4 O 1.94-1.99